[1]
Density functional theory data (PBE-GGA) for a relaxed structure of LaY3Cu4.

The calculation puts the formation energy at -0.21 eV/atom. The value obtained for the density of states at the Fermi level is 0.687 states/eV/atom. The calculation puts the final energy at -5.293 eV per atom. The size of the total moment is 0.000 μB/atom.

It has space group P4/mmm (No. 123), with a = 4.997 Å, b = 4.997 Å, c = 7.022 Å, α = 90.00°, β = 90.00° and γ = 90.00°. Symmetry generates all atoms from La at (0.000, 0.000, 0.000), Y at (0.000, 0.000, 0.500), Y at (0.500, 0.500, 0.000), Y at (0.500, 0.500, 0.500) and Cu at (0.000, 0.500, 0.263).



[2]
Density functional theory data (PBE-GGA) for a relaxed structure of LaY2Cu.

The calculation puts the formation energy at -0.09 eV/atom. The value obtained for the density of states at the Fermi level is 1.323 states/eV/atom. The calculation puts the final energy at -5.575 eV per atom. The size of the total moment is 0.000 μB/atom.

It has space group Pnma (No. 62), with a = 6.927 Å, b = 10.115 Å, c = 6.561 Å, α = 90.00°, β = 90.00° and γ = 90.00°. Symmetry generates all atoms from La at (0.008, 0.250, 0.138), Y at (0.178, 0.058, 0.678) and Cu at (0.109, 0.750, 0.425).



[3]
Density functional theory data (PBE-GGA) for a relaxed structure of LaYCu2.

The calculation puts the formation energy at 0.01 eV/atom. The value obtained for the density of states at the Fermi level is 0.902 states/eV/atom. The calculation puts the final energy at -4.889 eV per atom. The size of the total moment is 0.000 μB/atom.

It has space group R-3m (No. 166, hexagonal axes), with a = 3.8758 Å, b = 3.8758 Å, c = 23.1367 Å, α = 90.00°, β = 90.00° and γ = 120.00°. Symmetry generates all atoms from La at (0.0000, 0.0000, 0.0000), Y at (0.0000, 0.0000, 0.5000) and Cu at (0.0000, 0.0000, 0.2464).



[4]
Density functional theory data (PBE-GGA) for a relaxed structure of LaYCu2.

The calculation puts the formation energy at -0.20 eV/atom. The value obtained for the density of states at the Fermi level is 0.847 states/eV/atom. The calculation puts the final energy at -5.093 eV per atom. The size of the total moment is 0.001 μB/atom.

It has space group Pm (No. 6), with a = 3.892 Å, b = 4.541 Å, c = 5.643 Å, α = 90.00°, β = 109.51° and γ = 90.00°. Symmetry generates all atoms from La at (0.000, 0.000, 0.000), Y at (0.720, 0.500, 0.437), Cu at (0.288, 0.000, 0.573) and Cu at (0.421, 0.500, 0.844).



[5]
Density functional theory data (PBE-GGA) for a relaxed structure of La2YCu6.

The calculation puts the formation energy at -0.23 eV/atom. The value obtained for the density of states at the Fermi level is 0.661 states/eV/atom. The calculation puts the final energy at -4.770 eV per atom. The size of the total moment is 0.000 μB/atom.

It has space group P6/mmm (No. 191), with a = 7.4468 Å, b = 7.4468 Å, c = 3.7710 Å, α = 90.00°, β = 90.00° and γ = 120.00°. Symmetry generates all atoms from La at (0.3333, 0.6667, 0.0000), Y at (0.0000, 0.0000, 0.0000) and Cu at (0.0000, 0.3300, 0.5000).



[6]
Density functional theory data (PBE-GGA) for a relaxed structure of LaY2Cu6.

The calculation puts the formation energy at -0.23 eV/atom. The value obtained for the density of states at the Fermi level is 0.704 states/eV/atom. The calculation puts the final energy at -4.949 eV per atom. The size of the total moment is 0.000 μB/atom.

It has space group P6/mmm (No. 191), with a = 7.3738 Å, b = 7.3738 Å, c = 3.7022 Å, α = 90.00°, β = 90.00° and γ = 120.00°. Symmetry generates all atoms from La at (0.0000, 0.0000, 0.0000), Y at (0.3333, 0.6667, 0.0000) and Cu at (0.0000, 0.3363, 0.5000).



[7]
Density functional theory data (PBE-GGA) for a relaxed structure of LaYCu2.

The calculation puts the formation energy at -0.12 eV/atom. The value obtained for the density of states at the Fermi level is 0.893 states/eV/atom. The calculation puts the final energy at -5.017 eV per atom. The size of the total moment is 0.179 μB/atom.

It has space group R3m (No. 160, hexagonal axes), with a = 4.2376 Å, b = 4.2376 Å, c = 19.5454 Å, α = 90.00°, β = 90.00° and γ = 120.00°. Symmetry generates all atoms from La at (0.0000, 0.0000, 0.0000), Y at (0.0000, 0.0000, 0.8181), Cu at (0.0000, 0.0000, 0.2340) and Cu at (0.0000, 0.0000, 0.5688).



[8]
Density functional theory data (PBE-GGA) for a relaxed structure of LaY5Cu4.

The calculation puts the formation energy at -0.19 eV/atom. The value obtained for the density of states at the Fermi level is 0.662 states/eV/atom. The calculation puts the final energy at -5.551 eV per atom. The size of the total moment is 0.000 μB/atom.

It has space group P4/mmm (No. 123), with a = 3.482 Å, b = 3.482 Å, c = 19.584 Å, α = 90.00°, β = 90.00° and γ = 90.00°. Symmetry generates all atoms from La at (0.000, 0.000, 0.000), Y at (0.500, 0.500, 0.144), Y at (0.500, 0.500, 0.320), Y at (0.500, 0.500, 0.500), Cu at (0.000, 0.000, 0.230) and Cu at (0.000, 0.000, 0.410).



Question: Which value of final energy does entry 2 give?
Answer: -5.575 eV per atom



Repeat the eighth record exactly.
Density functional theory data (PBE-GGA) for a relaxed structure of LaY5Cu4.

The calculation puts the formation energy at -0.19 eV/atom. The value obtained for the density of states at the Fermi level is 0.662 states/eV/atom. The calculation puts the final energy at -5.551 eV per atom. The size of the total moment is 0.000 μB/atom.

It has space group P4/mmm (No. 123), with a = 3.482 Å, b = 3.482 Å, c = 19.584 Å, α = 90.00°, β = 90.00° and γ = 90.00°. Symmetry generates all atoms from La at (0.000, 0.000, 0.000), Y at (0.500, 0.500, 0.144), Y at (0.500, 0.500, 0.320), Y at (0.500, 0.500, 0.500), Cu at (0.000, 0.000, 0.230) and Cu at (0.000, 0.000, 0.410).